Record 1
This record from Alexandria describes SrSi4Ni6 after structural relaxation. The functional is PBE-GGA.

Unit cell a=3.7462 b=6.6999 c=6.6999 alpha=120.00 beta=90.00 gamma=90.00
Sites, in units of the cell vectors:
Sr: 0.0000 0.0000 0.0000
Si: 0.5000 0.7994 0.5988
Si: 0.5000 0.4012 0.2006
Si: 0.5000 0.7994 0.2006
Si: 0.0000 0.3333 0.6667
Ni: 0.0000 0.5349 0.0697
Ni: 0.5000 0.5861 0.7931
Ni: 0.0000 0.5349 0.4651
Ni: 0.0000 0.9303 0.4651
Ni: 0.5000 0.2069 0.7931
Ni: 0.5000 0.2069 0.4139

Computed properties:
density of states at the Fermi level: 5.9 states/eV/f.u.
ΔE_f (raw): -0.53 eV/atom
SG: P-6m2, No. 187

Record 2
This record from Alexandria describes Sr2SiNi after structural relaxation. The functional is PBE-GGA.

Unit cell a=3.6709 b=3.7118 c=8.4401 alpha=63.95 beta=90.00 gamma=90.00
Sites, in units of the cell vectors:
Ni: 0.5000 0.2500 0.2500
Si: 0.5000 0.7500 0.7500
Sr: 0.0000 0.9914 0.0090
Sr: 0.0000 0.5086 0.4910

Computed properties:
density of states at the Fermi level: 2.4 states/eV/f.u.
ΔE_f (raw): 0.04 eV/atom
SG: Pmmm, No. 47

Record 3
This record from Alexandria describes Sr2SiNi2 after structural relaxation. The functional is PBE-GGA.

Unit cell a=4.0578 b=4.0578 c=9.4127 alpha=77.55 beta=77.55 gamma=60.00
Sites, in units of the cell vectors:
Sr: 0.4252 0.4252 0.7244
Sr: 0.5748 0.5748 0.2756
Si: 0.0000 0.0000 0.0000
Ni: 0.6821 0.6821 0.9537
Ni: 0.3179 0.3179 0.0463

Computed properties:
density of states at the Fermi level: 3.6 states/eV/f.u.
ΔE_f (raw): -0.39 eV/atom
SG: R-3m, No. 166

Record 4
This record from Alexandria describes SrSiNi after structural relaxation. The functional is PBE-GGA.

Unit cell a=4.5429 b=4.5429 c=4.5429 alpha=60.00 beta=60.00 gamma=60.00
Sites, in units of the cell vectors:
Ni: 0.7500 0.7500 0.7500
Si: 0.0000 0.0000 0.0000
Sr: 0.5000 0.5000 0.5000

Computed properties:
density of states at the Fermi level: 5.0 states/eV/f.u.
ΔE_f (raw): 0.12 eV/atom
SG: F-43m, No. 216

Record 5
This record from Alexandria describes Sr2SiNi after structural relaxation. The functional is PBE-GGA.

Unit cell a=3.4142 b=3.4142 c=8.9569 alpha=90.00 beta=90.00 gamma=90.00
Sites, in units of the cell vectors:
Ni: 0.0000 0.0000 0.5877
Si: 0.5000 0.5000 0.6676
Sr: 0.0000 0.0000 0.9193
Sr: 0.5000 0.5000 0.3254

Computed properties:
density of states at the Fermi level: 2.1 states/eV/f.u.
ΔE_f (raw): -0.01 eV/atom
SG: P4mm, No. 99

Record 6
This record from Alexandria describes SrSi2Ni3 after structural relaxation. The functional is PBE-GGA.

Unit cell a=3.9232 b=7.4628 c=7.3000 alpha=112.16 beta=90.00 gamma=105.24
Sites, in units of the cell vectors:
Sr: 0.8403 0.6805 0.9240
Sr: 0.1597 0.3195 0.0760
Si: 0.4820 0.9641 0.8167
Si: 0.5180 0.0359 0.1833
Si: 0.8287 0.6574 0.3772
Si: 0.1713 0.3426 0.6228
Ni: 0.3196 0.6393 0.5680
Ni: 0.9740 0.9481 0.6478
Ni: 0.5905 0.1810 0.6556
Ni: 0.4095 0.8190 0.3444
Ni: 0.0260 0.0519 0.3522
Ni: 0.6804 0.3607 0.4320

Computed properties:
density of states at the Fermi level: 3.7 states/eV/f.u.
ΔE_f (raw): -0.50 eV/atom
SG: C2/m, No. 12

Record 7
This record from Alexandria describes Sr2SiNi after structural relaxation. The functional is PBE-GGA.

Unit cell a=8.5464 b=8.5464 c=8.5464 alpha=28.16 beta=28.16 gamma=28.16
Sites, in units of the cell vectors:
Sr: 0.0412 0.0412 0.0412
Sr: 0.2087 0.2087 0.2087
Si: 0.7917 0.7917 0.7917
Ni: 0.4584 0.4584 0.4584

Computed properties:
density of states at the Fermi level: 5.0 states/eV/f.u.
ΔE_f (raw): -0.36 eV/atom
SG: R3m, No. 160

Record 8
This record from Alexandria describes Sr2SiNi after structural relaxation. The functional is PBE-GGA.

Unit cell a=4.2601 b=4.8404 c=5.8435 alpha=65.50 beta=90.00 gamma=90.00
Sites, in units of the cell vectors:
Sr: 0.0000 0.9800 0.9149
Sr: 0.5000 0.2712 0.3326
Si: 0.5000 0.5848 0.7054
Ni: 0.0000 0.6641 0.5470

Computed properties:
density of states at the Fermi level: 2.4 states/eV/f.u.
ΔE_f (raw): -0.32 eV/atom
SG: Amm2, No. 38